DFT (PBE) results for a geometry-optimized Li2YFe structure.

CIF file:
```
data_Li2YFe
_symmetry_space_group_name_H-M 'F -4 3 m'
_symmetry_Int_Tables_number 216
_symmetry_space_group_name_Hall 'F -4 2 3'
_cell_length_a 6.610
_cell_length_b 6.610
_cell_length_c 6.610
_cell_angle_alpha 90.00
_cell_angle_beta 90.00
_cell_angle_gamma 90.00
loop_
_atom_site_label
_atom_site_type_symbol
_atom_site_fract_x
_atom_site_fract_y
_atom_site_fract_z
Li1 Li 0.000 0.000 0.000
Li2 Li 0.250 0.250 0.250
Y1 Y 0.000 0.000 0.500
Fe1 Fe 0.250 0.250 0.750
```

Computed properties:
The total energy is -68.636 eV per cell. The total magnetization comes out at 1.530 μB/f.u. The polymorph energy (0 for the lowest one) is 0.000 eV per atom. The calculation puts the volume at 18.05 Å³/atom.